Entry from the Alexandria database: a relaxed structure of AsH3I (PBE-GGA).

Calculated values
* calculated total energy: -2.5974 eV/atom
* crystal system: cubic

Cell: 3.936 3.936 3.936 Å, 90.00 90.00 90.00°
Space group Pm-3m (No. 221)
Symmetry-distinct sites (fractional):
As 0.000 0.000 0.000
H 0.000 0.000 0.500
I 0.500 0.500 0.500


Entry from the Alexandria database: a relaxed structure of As2WAu (PBE-GGA).

Calculated values
* energy relative to the elements: 0.305 eV per atom
* crystal system: orthorhombic

Cell: 3.174 3.633 13.083 Å, 90.00 90.00 90.00°
Space group Imm2 (No. 44)
Symmetry-distinct sites (fractional):
As 0.000 0.000 0.000
As 0.000 0.500 0.223
W 0.000 0.000 0.571
Au 0.000 0.500 0.845


Entry from the Alexandria database: a relaxed structure of SrCa7Mg4 (PBE-GGA).

Calculated values
* energy relative to the elements: 0.102 eV per atom
* crystal system: monoclinic

Cell: 15.518 6.202 11.022 Å, 90.00 123.68 90.00°
Space group C2/m (No. 12)
Symmetry-distinct sites (fractional):
Sr 0.000 0.000 0.000
Ca 0.000 0.500 0.000
Ca 0.069 0.000 0.400
Ca 0.208 0.500 0.657
Ca 0.219 0.000 0.886
Mg 0.045 0.500 0.751
Mg 0.182 0.500 0.335


Entry from the Alexandria database: a relaxed structure of Hf2ThZr (PBE-GGA).

Calculated values
* energy relative to the elements: 0.169 eV per atom
* crystal system: trigonal

Cell: 3.2716 3.2716 32.2710 Å, 90.00 90.00 120.00°
Space group R-3m (No. 166, hexagonal axes)
Symmetry-distinct sites (fractional):
Hf 0.0000 0.0000 0.2452
Th 0.0000 0.0000 0.0000
Zr 0.0000 0.0000 0.5000


Entry from the Alexandria database: a relaxed structure of ReSbCl2 (PBE-GGA).

Calculated values
* crystal system: orthorhombic
* formation energy from raw total energies: 24.43 kcal/mol of atoms

Cell: 6.106 9.114 3.085 Å, 90.00 90.00 90.00°
Space group Cmmm (No. 65)
Symmetry-distinct sites (fractional):
Re 0.000 0.000 0.000
Sb 0.000 0.500 0.000
Cl 0.250 0.250 0.500


Entry from the Alexandria database: a relaxed structure of TaNb4W2 (PBE-GGA).

Calculated values
* energy relative to the elements: 0.465 eV per atom
* crystal system: tetragonal

Cell: 6.684 6.684 5.855 Å, 90.00 90.00 90.00°
Space group I4/mmm (No. 139)
Symmetry-distinct sites (fractional):
Ta 0.000 0.000 0.000
Nb 0.205 0.205 0.500
W 0.000 0.500 0.250


Entry from the Alexandria database: a relaxed structure of EuNpZn4 (PBE-GGA).

Calculated values
* energy relative to the elements: -0.017 eV per atom
* crystal system: cubic

Cell: 7.815 7.815 7.815 Å, 90.00 90.00 90.00°
Space group F-43m (No. 216)
Symmetry-distinct sites (fractional):
Eu 0.000 0.000 0.000
Np 0.250 0.250 0.250
Zn 0.124 0.124 0.624


Entry from the Alexandria database: a relaxed structure of EuP2Pd2 (PBE-GGA).

Calculated values
* energy relative to the elements: -0.890 eV per atom
* crystal system: orthorhombic

Cell: 5.924 5.931 9.877 Å, 90.00 90.00 90.00°
Space group Fmmm (No. 69)
Symmetry-distinct sites (fractional):
Eu 0.000 0.000 0.000
P 0.000 0.000 0.388
Pd 0.250 0.250 0.250